Pr5Si2Br: optimized geometry, PBE-GGA.

Calculated values
As for the raw total energy: -82.467 eV per cell.

Cell lengths 7.835, 7.835, 9.177 Å; angles 115.27, 115.27, 90.00 degrees
Atoms (fractional coordinates):
Pr1 0.306 0.806 0.278
Pr2 0.000 0.000 0.000
Pr3 0.472 0.306 0.278
Si1 0.378 0.878 0.000
Pr4 0.806 0.972 0.278
Si2 0.878 0.622 0.000
Pr5 0.194 0.028 0.722
Pr6 0.500 0.500 0.000
Pr7 0.528 0.694 0.722
Pr8 0.694 0.194 0.722
Pr9 0.972 0.472 0.278
Si3 0.122 0.378 0.000
Br1 0.250 0.250 0.500
Pr10 0.028 0.528 0.722
Si4 0.622 0.122 0.000
Br2 0.750 0.750 0.500

=====

Pr2SiBr: optimized geometry, PBE-GGA.

Calculated values
The energy above the most stable polymorph in this dataset is 0.035 eV/atom.

Cell lengths 4.243, 4.243, 8.097 Å; angles 74.81, 74.81, 60.00 degrees
Atoms (fractional coordinates):
Pr1 0.069 0.069 0.792
Br1 0.498 0.498 0.506
Pr2 0.265 0.265 0.205
Si1 0.668 0.668 0.997

=====

Pr8Si4Br3: optimized geometry, PBE-GGA.

Calculated values
As for the raw total energy: -78.309 eV per cell.

Cell lengths 8.594, 8.593, 8.593 Å; angles 90.35, 119.92, 119.92 degrees
Atoms (fractional coordinates):
Si1 0.000 0.000 0.000
Pr1 0.000 0.757 0.243
Pr2 0.500 0.239 0.761
Pr3 0.500 0.761 0.239
Br1 0.500 0.500 0.000
Si2 0.000 0.500 0.000
Pr4 0.012 0.757 0.757
Si3 0.000 0.000 0.500
Pr5 0.988 0.243 0.243
Pr6 0.000 0.243 0.757
Pr7 0.481 0.229 0.229
Pr8 0.519 0.771 0.771
Si4 0.500 0.000 0.000
Br2 0.500 0.000 0.500
Br3 0.500 0.500 0.500

=====

Pr4Si2Br3: optimized geometry, PBE-GGA.

Calculated values
The energy above the most stable polymorph in this dataset is 0.000 eV/atom.

Cell lengths 4.306, 4.306, 18.113 Å; angles 90.05, 89.95, 120.00 degrees
Atoms (fractional coordinates):
Si1 0.333 0.667 0.203
Pr1 0.334 0.666 0.883
Br1 0.000 0.000 0.000
Pr2 0.666 0.334 0.117
Si2 0.667 0.333 0.797
Br2 0.666 0.334 0.397
Br3 0.334 0.666 0.603
Pr3 0.999 0.001 0.297
Pr4 0.001 0.999 0.703

=====

Pr3SiBr3: optimized geometry, PBE-GGA.

Calculated values
As for the raw total energy: -139.345 eV per cell.

Cell lengths 10.502, 10.502, 10.502 Å; angles 109.47, 109.47, 109.47 degrees
Atoms (fractional coordinates):
Pr1 0.978 0.489 0.239
Si1 0.750 0.500 0.000
Si2 0.500 0.250 0.500
Br1 0.750 0.754 0.746
Si3 0.000 0.000 0.250
Pr2 0.522 0.261 0.011
Br2 0.254 0.509 0.504
Br3 0.004 0.250 0.996
Br4 0.246 0.996 0.991
Pr3 0.250 0.239 0.261
Pr4 0.761 0.750 0.239
Br5 0.491 0.746 0.996
Pr5 0.250 0.011 0.489
Br6 0.750 0.996 0.504
Br7 0.254 0.746 0.250
Pr6 0.511 0.489 0.750
Pr7 0.989 0.750 0.011
Pr8 0.511 0.022 0.261
Pr9 0.739 0.478 0.489
Pr10 0.989 0.239 0.478
Br8 0.496 0.991 0.746
Br9 0.246 0.250 0.754
Pr11 0.761 0.011 0.022
Br10 0.009 0.504 0.754
Si4 0.750 0.250 0.250
Pr12 0.739 0.261 0.750
Br11 0.004 0.754 0.509
Br12 0.496 0.504 0.250

=====

Pr2SiBr: optimized geometry, PBE-GGA.

Calculated values
The energy above the most stable polymorph in this dataset is 0.000 eV/atom.

Cell lengths 4.303, 4.303, 7.827 Å; angles 74.05, 74.05, 60.00 degrees
Atoms (fractional coordinates):
Si1 0.000 0.000 0.000
Pr1 0.737 0.737 0.789
Pr2 0.263 0.263 0.211
Br1 0.500 0.500 0.500

=====

Pr4Si2Br3: optimized geometry, PBE-GGA.

Calculated values
The energy above the most stable polymorph in this dataset is 0.273 eV/atom.

Cell lengths 5.979, 10.089, 10.089 Å; angles 85.92, 87.06, 87.06 degrees
Atoms (fractional coordinates):
Br1 0.988 0.953 0.237
Br2 0.250 0.641 0.359
Pr1 0.953 0.203 0.403
Pr2 0.501 0.086 0.674
Si1 0.447 0.183 0.400
Br3 0.012 0.047 0.763
Br4 0.488 0.237 0.953
Br5 0.512 0.763 0.047
Si2 0.053 0.600 0.817
Pr3 0.047 0.797 0.597
Pr4 0.001 0.674 0.086
Pr5 0.499 0.914 0.326
Br6 0.750 0.359 0.641
Si3 0.553 0.817 0.600
Si4 0.947 0.400 0.183
Pr6 0.453 0.403 0.203
Pr7 0.547 0.597 0.797
Pr8 0.999 0.326 0.914

=====

Pr6SiBr8: optimized geometry, PBE-GGA.

Calculated values
As for the raw total energy: -69.883 eV per cell.

Cell lengths 7.503, 7.503, 11.529 Å; angles 71.01, 71.01, 60.00 degrees
Atoms (fractional coordinates):
Br1 0.892 0.234 0.323
Br2 0.234 0.551 0.323
Pr1 0.948 0.647 0.157
Si1 0.000 0.000 0.000
Pr2 0.052 0.353 0.843
Pr3 0.647 0.248 0.157
Br3 0.449 0.108 0.677
Br4 0.667 0.667 0.000
Br5 0.333 0.333 0.000
Br6 0.108 0.766 0.677
Br7 0.551 0.892 0.323
Pr4 0.752 0.052 0.843
Pr5 0.248 0.948 0.157
Br8 0.766 0.449 0.677
Pr6 0.353 0.752 0.843

=====

Pr6SiTc2Br3: optimized geometry, PBE-GGA.

Calculated values
As for the raw total energy: -67.778 eV per cell.

Cell lengths 7.161, 7.161, 8.268 Å; angles 98.67, 98.67, 118.38 degrees
Atoms (fractional coordinates):
Pr1 0.580 0.929 0.813
Tc1 0.635 0.365 0.000
Si1 0.000 0.000 0.000
Pr2 0.929 0.580 0.813
Pr3 0.071 0.420 0.187
Br1 0.173 0.827 0.500
Br2 0.500 0.500 0.500
Tc2 0.365 0.635 0.000
Br3 0.827 0.173 0.500
Pr4 0.248 0.248 0.773
Pr5 0.752 0.752 0.227
Pr6 0.420 0.071 0.187

=====

Pr4SiTeBr2: optimized geometry, PBE-GGA.

Calculated values
As for the raw total energy: -40.737 eV per cell.

Cell lengths 4.360, 7.609, 7.839 Å; angles 70.68, 90.00, 90.00 degrees
Atoms (fractional coordinates):
Pr1 0.000 0.272 0.278
Br1 0.000 0.000 0.000
Br2 0.500 0.000 0.500
Pr2 0.500 0.283 0.713
Pr3 0.000 0.728 0.722
Te1 0.500 0.500 0.000
Pr4 0.500 0.717 0.287
Si1 0.000 0.500 0.500

=====

Pr8Si3TeBr4: optimized geometry, PBE-GGA.

Calculated values
As for the raw total energy: -82.822 eV per cell.

Cell lengths 8.742, 8.895, 8.742 Å; angles 119.43, 120.00, 90.00 degrees
Atoms (fractional coordinates):
Pr1 0.750 0.284 0.035
Pr2 0.285 0.284 0.035
Pr3 0.715 0.716 0.965
Si1 0.000 0.500 0.500
Pr4 0.250 0.716 0.965
Si2 0.500 0.500 0.000
Pr5 0.263 0.290 0.526
Te1 0.000 0.500 0.000
Si3 0.500 0.500 0.500
Br1 0.500 0.000 0.000
Br2 0.500 0.000 0.500
Br3 0.000 0.000 0.000
Br4 0.000 0.000 0.500
Pr6 0.750 0.284 0.499
Pr7 0.737 0.710 0.474
Pr8 0.250 0.716 0.501

=====

Pr6Si2TeBr3: optimized geometry, PBE-GGA.

Calculated values
As for the raw total energy: -61.682 eV per cell.

Cell lengths 4.362, 8.903, 9.880 Å; angles 103.21, 102.75, 90.00 degrees
Atoms (fractional coordinates):
Br1 0.164 0.837 0.328
Pr1 0.329 0.873 0.659
Br2 0.500 0.500 0.000
Si1 0.830 0.659 0.660
Pr2 0.674 0.566 0.349
Te1 0.500 0.000 0.000
Pr3 0.671 0.127 0.341
Pr4 0.982 0.739 0.963
Pr5 0.326 0.434 0.651
Br3 0.836 0.163 0.672
Si2 0.170 0.341 0.340
Pr6 0.018 0.261 0.037